The following is a DFT calculation (PBE-GGA) of an optimized crystal structure of CsTlZn3.

a b c (Å): 6.4784 6.4784 6.4784
angles (deg): 90.00 90.00 90.00
With the nearest neighbours (Å) after each atom.
Fractional coordinates of all 5 atoms:
Cs: 0.0000 0.0000 0.0000  6 Zn 3.24
Tl: 0.5000 0.5000 0.5000  12 Zn 4.58
Zn: 0.0000 0.5000 0.0000  2 Cs 3.24
Zn: 0.0000 0.0000 0.5000  2 Cs 3.24
Zn: 0.5000 0.0000 0.0000  2 Cs 3.24

Output
Magnetic moment, μB per atom: 0.000
DOS at the Fermi energy, states/eV/cell: 5.6
E above lowest polymorph, kJ/mol of formula units: 267
E_form, eV/atom: 0.830